# 1
The following is a PBE calculation of a relaxed structure of SrLi5Ca6, from the Alexandria database.

The space group is P2/m (No. 10) and the conventional cell measures 5.671, 8.471 and 9.013 Å, with angles of 90.00, 107.88 and 90.00 degrees. The inequivalent atoms are Sr at (0.000, 0.000, 0.000), Li at (0.000, 0.500, 0.000), Li at (0.334, 0.500, 0.669), Li at (0.339, 0.000, 0.677), Ca at (0.175, 0.266, 0.348) and Ca at (0.500, 0.277, 0.000).



# 2
The following is a PBE calculation of a relaxed structure of As5W3, from the Alexandria database.

The space group is Cm (No. 8) and the conventional cell measures 6.088, 13.532 and 7.410 Å, with angles of 90.00, 114.20 and 90.00 degrees. The inequivalent atoms are As at (0.000, 0.000, 0.000), As at (0.002, 0.500, 0.003), As at (0.032, 0.326, 0.782), As at (0.252, 0.326, 0.220), As at (0.315, 0.109, 0.348), As at (0.468, 0.391, 0.653), W at (0.104, 0.500, 0.646), W at (0.133, 0.250, 0.501), W at (0.281, 0.177, 0.000) and W at (0.457, 0.500, 0.354).

The energy above the most stable polymorph in this dataset is 0 meV/atom.



# 3
The following is a PBE calculation of a relaxed structure of Fe2RuPtC, from the Alexandria database.

The space group is P4/mmm (No. 123) and the conventional cell measures 3.929, 3.929 and 3.962 Å, with angles of 90.00, 90.00 and 90.00 degrees. The inequivalent atoms are Fe at (0.000, 0.500, 0.000), Ru at (0.000, 0.000, 0.500), Pt at (0.500, 0.500, 0.500) and C at (0.000, 0.000, 0.000).



# 4
The following is a PBE calculation of a relaxed structure of Tm5In2Os2, from the Alexandria database.

The space group is Cmce (No. 64) and the conventional cell measures 16.470, 7.401 and 7.423 Å, with angles of 90.00, 90.00 and 90.00 degrees. The inequivalent atoms are Tm at (0.000, 0.000, 0.000), Tm at (0.117, 0.182, 0.321), In at (0.226, 0.000, 0.000) and Os at (0.000, 0.118, 0.620).



How do the records compare in total magnetic moment? In the order shown, they have 0.00, 0.00, 1.16, 0.00 μB per atom.
How do the records compare in formation energy from the elements? In the order shown, they have 54, 309, 109, -353 meV per atom.